Density functional theory data (PBE) for a geometry-optimized Tl2In5Pb3 structure.

Properties
The calculation puts the energy relative to the elements at 0.13 eV per formula unit.

Cell: 8.912 8.952 9.370 Å, 105.35 108.67 112.63°
Space group P-1 (No. 2)
Asymmetric unit:
Tl 0.078 0.022 0.352 [2 per cell]
Tl 0.320 0.769 0.844 [2 per cell]
In 0.021 0.673 0.447 [2 per cell]
In 0.166 0.717 0.143 [2 per cell]
In 0.275 0.426 0.952 [2 per cell]
In 0.423 0.476 0.648 [2 per cell]
In 0.470 0.823 0.545 [2 per cell]
Pb 0.132 0.382 0.257 [2 per cell]
Pb 0.229 0.078 0.056 [2 per cell]
Pb 0.384 0.134 0.754 [2 per cell]